A plane-wave DFT calculation with PBE was carried out for a geometry-optimized AlCrPS2 structure.

Results
Calculated density, g/cm3: 3.2
Energy relative to the elements, uncorrected, eV per atom: 0.29
Magnetic moment, μB per formula unit: 0.00

Cell lengths 4.5087, 4.5087, 4.5132 Å; angles 90.00, 90.00, 90.00 degrees
Last column: nearest neighbours and their distance in Å.
Sites, in units of the cell vectors:
Al: 0.0000 0.0000 0.0000  4 P 3.19, 8 S 3.19
Cr: 0.5000 0.5000 0.5000  4 S 2.25, 2 P 2.26
P: 0.5000 0.5000 0.0000  2 Cr 2.26
S: 0.0000 0.5000 0.5000  2 Cr 2.25
S: 0.5000 0.0000 0.5000  2 Cr 2.25